(1)
Here is a relaxed structure of HoTaNb2 from Alexandria. Energies are from GGA-PBE.

Lattice parameters (Å, degrees): 3.409 3.409 7.205 90.00 90.00 90.00
Fractional positions:
1 Nb 0.000 0.000 0.207
2 Nb 0.000 0.000 0.793
3 Ta 0.500 0.500 0.000
4 Ho 0.500 0.500 0.500

Values from the calculation:
As for the total magnetization: 0.000 μB/atom. The density of states at the Fermi level is 1.032 states/eV/atom. As for the space-group type: P4/mmm. The calculated formation energy is 0.173 eV/atom. Its total energy is -8.969 eV/atom.

=====

(2)
Here is a relaxed structure of Tb2HoNb from Alexandria. Energies are from GGA-PBE.

Lattice parameters (Å, degrees): 3.302 3.302 11.711 81.89 81.89 60.00
Fractional positions:
1 Nb 0.000 0.000 0.000
2 Tb 0.083 0.083 0.750
3 Tb 0.917 0.917 0.250
4 Ho 0.500 0.500 0.500

Values from the calculation:
As for the total magnetization: 0.000 μB/atom. The density of states at the Fermi level is 1.235 states/eV/atom. As for the space-group type: R-3m. The calculated formation energy is 0.528 eV/atom. Its total energy is -5.449 eV/atom.

=====

(3)
Here is a relaxed structure of TbHoNb from Alexandria. Energies are from GGA-PBE.

Lattice parameters (Å, degrees): 3.469 3.461 13.787 82.79 90.00 90.00
Fractional positions:
1 Tb 0.250 0.445 0.111
2 Tb 0.750 0.555 0.889
3 Ho 0.250 0.152 0.696
4 Ho 0.750 0.848 0.304
5 Nb 0.250 0.273 0.453
6 Nb 0.750 0.727 0.547

Values from the calculation:
As for the total magnetization: 0.001 μB/atom. The density of states at the Fermi level is 1.335 states/eV/atom. As for the space-group type: Cmcm. The calculated formation energy is 0.168 eV/atom. Its total energy is -6.258 eV/atom.

=====

(4)
Here is a relaxed structure of HoNbTc4 from Alexandria. Energies are from GGA-PBE.

Lattice parameters (Å, degrees): 5.275 5.275 5.275 60.00 60.00 60.00
Fractional positions:
1 Nb 0.000 0.000 0.000
2 Tc 0.625 0.124 0.625
3 Tc 0.625 0.625 0.124
4 Tc 0.625 0.625 0.625
5 Tc 0.124 0.625 0.625
6 Ho 0.250 0.250 0.250

Values from the calculation:
As for the total magnetization: 0.000 μB/atom. The density of states at the Fermi level is 1.552 states/eV/atom. As for the space-group type: F-43m. The calculated formation energy is -0.077 eV/atom. Its total energy is -9.429 eV/atom.

=====

Please write out number 4 again, unchanged.
Here is a relaxed structure of HoNbTc4 from Alexandria. Energies are from GGA-PBE.

Lattice parameters (Å, degrees): 5.275 5.275 5.275 60.00 60.00 60.00
Fractional positions:
1 Nb 0.000 0.000 0.000
2 Tc 0.625 0.124 0.625
3 Tc 0.625 0.625 0.124
4 Tc 0.625 0.625 0.625
5 Tc 0.124 0.625 0.625
6 Ho 0.250 0.250 0.250

Values from the calculation:
As for the total magnetization: 0.000 μB/atom. The density of states at the Fermi level is 1.552 states/eV/atom. As for the space-group type: F-43m. The calculated formation energy is -0.077 eV/atom. Its total energy is -9.429 eV/atom.